[1]
Pr2DyGe4Pt3: optimized geometry, PBE-GGA.

Output
Calculated volume   211.8 Å³/cell
DOS(E_F)   4.11 states/eV/cell
DFT formation energy   -0.9129 eV/atom

a b c (Å): 4.3339 4.3339 11.2757
angles (deg): 90.00 90.00 90.00
Positions (direct):
1 Pr 0.0000 0.5000 0.2312
2 Pr 0.5000 0.0000 0.7688
3 Dy 0.0000 0.0000 0.5000
4 Ge 0.0000 0.0000 0.0000
5 Ge 0.0000 0.5000 0.6626
6 Ge 0.5000 0.0000 0.3374
7 Ge 0.5000 0.5000 0.0000
8 Pt 0.0000 0.5000 0.8836
9 Pt 0.5000 0.0000 0.1164
10 Pt 0.5000 0.5000 0.5000

[2]
Al2Cu2Si: optimized geometry, PBE-GGA.

Output
Calculated volume   143.3 Å³/cell
DOS(E_F)   1.95 states/eV/cell
Formation energy (no corrections)   27.0 meV/atom
Offset from the most stable computed form   34.8 meV per atom

a b c (Å): 5.3195 5.3195 7.9297
angles (deg): 118.95 118.95 48.94
Positions (direct):
1 Al 0.0066 0.7669 0.5406
2 Al 0.2331 0.9934 0.9594
3 Al 0.7669 0.0066 0.0406
4 Al 0.9934 0.2331 0.4594
5 Cu 0.1934 0.4498 0.8389
6 Cu 0.4498 0.1934 0.3389
7 Cu 0.5502 0.8066 0.6611
8 Cu 0.8066 0.5502 0.1611
9 Si 0.3660 0.6340 0.2500
10 Si 0.6340 0.3660 0.7500

[3]
Be3Si2Tc2: optimized geometry, PBE-GGA.

Output
Calculated volume   82.8 Å³/cell
DOS(E_F)   1.86 states/eV/cell
Formation energy (no corrections)   -4.5 meV/atom

a b c (Å): 4.6743 4.6743 6.3445
angles (deg): 116.49 116.49 42.90
Positions (direct):
1 Be 0.0000 0.0000 0.0000
2 Be 0.0212 0.0212 0.3536
3 Be 0.9788 0.9788 0.6464
4 Si 0.3425 0.3425 0.9723
5 Si 0.6575 0.6575 0.0277
6 Tc 0.3030 0.3030 0.3417
7 Tc 0.6970 0.6970 0.6583

[4]
Th8Ru3RhSe4: optimized geometry, PBE-GGA.

Output
Calculated volume   429.4 Å³/cell
DOS(E_F)   8.16 states/eV/cell
Formation energy (no corrections)   -1121.0 meV/atom

a b c (Å): 8.7654 8.7654 8.7654
angles (deg): 55.76 55.76 55.76
Positions (direct):
1 Th 0.2345 0.7401 0.7401
2 Th 0.2382 0.2382 0.2382
3 Th 0.2599 0.2599 0.7655
4 Th 0.2599 0.7655 0.2599
5 Th 0.7401 0.2345 0.7401
6 Th 0.7401 0.7401 0.2345
7 Th 0.7618 0.7618 0.7618
8 Th 0.7655 0.2599 0.2599
9 Ru 0.0000 0.0000 0.5000
10 Ru 0.0000 0.5000 0.0000
11 Ru 0.5000 0.0000 0.0000
12 Rh 0.5000 0.5000 0.5000
13 Se 0.0000 0.0000 0.0000
14 Se 0.0000 0.5000 0.5000
15 Se 0.5000 0.0000 0.5000
16 Se 0.5000 0.5000 0.0000

[5]
NiAg3: optimized geometry, PBE-GGA.

Output
Calculated volume   64.5 Å³/cell
DOS(E_F)   3.09 states/eV/cell
DFT formation energy   0.1630 eV/atom

a b c (Å): 2.8696 2.8696 7.8346
angles (deg): 90.00 90.00 90.00
Positions (direct):
1 Ni 0.0000 0.0000 0.0000
2 Ag 0.0000 0.0000 0.5000
3 Ag 0.5000 0.5000 0.2264
4 Ag 0.5000 0.5000 0.7736

[6]
NaRhSe3: optimized geometry, PBE-GGA.

Output
Calculated volume   123.8 Å³/cell
DOS(E_F)   9.50 states/eV/cell
Formation energy (no corrections)   1121.9 meV/atom
Offset from the most stable computed form   1186.8 meV per atom

a b c (Å): 4.9840 4.9840 4.9840
angles (deg): 90.00 90.00 90.00
Positions (direct):
1 Na 0.0000 0.0000 0.0000
2 Rh 0.5000 0.5000 0.5000
3 Se 0.0000 0.0000 0.5000
4 Se 0.0000 0.5000 0.0000
5 Se 0.5000 0.0000 0.0000

[7]
TlTe2IN: optimized geometry, PBE-GGA.

Output
Calculated volume   128.5 Å³/cell
DOS(E_F)   4.05 states/eV/cell
Formation energy (no corrections)   606.0 meV/atom
Offset from the most stable computed form   0.0 meV per atom

a b c (Å): 4.8794 4.8794 5.3954
angles (deg): 90.00 90.00 90.00
Positions (direct):
1 Tl 0.0000 0.0000 0.0000
2 Te 0.0000 0.5000 0.5000
3 Te 0.5000 0.0000 0.5000
4 I 0.5000 0.5000 0.0000
5 N 0.5000 0.5000 0.5000

[8]
Dy2MgGe: optimized geometry, PBE-GGA.

Output
Calculated volume   111.8 Å³/cell
DOS(E_F)   4.91 states/eV/cell
DFT formation energy   -0.2569 eV/atom

a b c (Å): 9.2468 9.2468 9.2468
angles (deg): 23.66 23.66 23.66
Positions (direct):
1 Dy 0.2362 0.2362 0.2362
2 Dy 0.7638 0.7638 0.7638
3 Mg 0.0000 0.0000 0.0000
4 Ge 0.5000 0.5000 0.5000

[9]
MnPCl: optimized geometry, PBE-GGA.

Output
Calculated volume   64.3 Å³/cell
DOS(E_F)   0.60 states/eV/cell
Formation energy (no corrections)   -148.4 meV/atom
Offset from the most stable computed form   254.0 meV per atom

a b c (Å): 7.5569 7.2849 3.1534
angles (deg): 82.61 72.94 24.45
Positions (direct):
1 Mn 0.0000 0.0000 0.0000
2 P 0.6090 0.6090 0.3910
3 Cl 0.3805 0.3805 0.6195

[10]
BaLi2Hg2: optimized geometry, PBE-GGA.

Output
Calculated volume   275.0 Å³/cell
DOS(E_F)   6.52 states/eV/cell
DFT formation energy   -0.2334 eV/atom
Offset from the most stable computed form   141.7 meV per atom

a b c (Å): 8.6050 8.6050 3.7139
angles (deg): 90.00 90.00 90.00
Positions (direct):
1 Ba 0.0000 0.0000 0.0000
2 Ba 0.5000 0.5000 0.0000
3 Li 0.1463 0.3537 0.5000
4 Li 0.3537 0.8537 0.5000
5 Li 0.6463 0.1463 0.5000
6 Li 0.8537 0.6463 0.5000
7 Hg 0.1288 0.6288 0.0000
8 Hg 0.3712 0.1288 0.0000
9 Hg 0.6288 0.8712 0.0000
10 Hg 0.8712 0.3712 0.0000

[11]
BaHgTe2: optimized geometry, PBE-GGA.

Output
Calculated volume   140.1 Å³/cell
DOS(E_F)   2.11 states/eV/cell
Formation energy (no corrections)   -758.4 meV/atom

a b c (Å): 5.5719 5.5719 4.7343
angles (deg): 90.00 90.00 107.56
Positions (direct):
1 Ba 0.0000 0.0000 0.0000
2 Hg 0.5000 0.5000 0.0000
3 Te 0.0000 0.5000 0.5000
4 Te 0.5000 0.0000 0.5000

[12]
TmNpU2P4: optimized geometry, PBE-GGA.

Output
Calculated volume   172.4 Å³/cell
DOS(E_F)   18.08 states/eV/cell
DFT formation energy   -1.0847 eV/atom

a b c (Å): 6.8115 3.9293 6.8272
angles (deg): 90.00 109.39 90.00
Positions (direct):
1 Tm 0.0000 0.0000 0.0000
2 Np 0.5000 0.5000 0.0000
3 U 0.0000 0.5000 0.5000
4 U 0.5000 0.0000 0.5000
5 P 0.2496 0.0000 0.7488
6 P 0.2503 0.5000 0.2524
7 P 0.7504 0.0000 0.2512
8 P 0.7497 0.5000 0.7476

[13]
LiTiSb2: optimized geometry, PBE-GGA.

Output
Calculated volume   182.0 Å³/cell
DOS(E_F)   6.47 states/eV/cell
Formation energy (no corrections)   -125.0 meV/atom
Offset from the most stable computed form   230.5 meV per atom

a b c (Å): 6.2238 6.2238 6.2238
angles (deg): 105.12 105.12 118.57
Positions (direct):
1 Li 0.0000 0.0000 0.0000
2 Li 0.7500 0.2500 0.5000
3 Ti 0.2500 0.7500 0.5000
4 Ti 0.5000 0.5000 0.0000
5 Sb 0.1253 0.6250 0.0003
6 Sb 0.3750 0.3753 0.5003
7 Sb 0.6247 0.1250 0.9997
8 Sb 0.8750 0.8747 0.4997

[14]
Zr2TeCl: optimized geometry, PBE-GGA.

Output
Calculated volume   90.4 Å³/cell
DOS(E_F)   3.25 states/eV/cell
Formation energy (no corrections)   -607.5 meV/atom
Offset from the most stable computed form   254.5 meV per atom

a b c (Å): 3.5203 3.9964 6.4440
angles (deg): 90.00 94.53 90.00
Positions (direct):
1 Zr 0.0365 0.0000 0.2476
2 Zr 0.9635 0.0000 0.7524
3 Te 0.5000 0.5000 0.0000
4 Cl 0.0000 0.5000 0.5000

[15]
MgB2: optimized geometry, PBE-GGA.

Output
Calculated volume   41.0 Å³/cell
DOS(E_F)   0.52 states/eV/cell
DFT formation energy   0.1260 eV/atom
Offset from the most stable computed form   254.3 meV per atom

a b c (Å): 4.2021 4.2021 4.2021
angles (deg): 136.92 124.13 73.06
Positions (direct):
1 Mg 0.0000 0.0000 0.0000
2 B 0.6513 0.6513 0.0000
3 B 0.6901 0.1901 0.5000

[16]
Hf2Pd2Pb: optimized geometry, PBE-GGA.

Output
Calculated volume   112.0 Å³/cell
DOS(E_F)   2.82 states/eV/cell
DFT formation energy   -0.2850 eV/atom

a b c (Å): 6.3429 6.3429 6.3429
angles (deg): 138.24 138.24 60.54
Positions (direct):
1 Hf 0.2500 0.7500 0.5000
2 Hf 0.7500 0.2500 0.5000
3 Pd 0.1197 0.1197 0.0000
4 Pd 0.8803 0.8803 0.0000
5 Pb 0.5000 0.5000 0.0000

[17]
Pu2ScOs: optimized geometry, PBE-GGA.

Output
Calculated volume   88.9 Å³/cell
DOS(E_F)   13.80 states/eV/cell
DFT formation energy   0.3682 eV/atom

a b c (Å): 10.5776 10.5776 10.5776
angles (deg): 17.06 17.06 17.06
Positions (direct):
1 Pu 0.0950 0.0950 0.0950
2 Pu 0.9050 0.9050 0.9050
3 Sc 0.0000 0.0000 0.0000
4 Os 0.5000 0.5000 0.5000

[18]
RbCdBi4: optimized geometry, PBE-GGA.

Output
Calculated volume   220.0 Å³/cell
DOS(E_F)   4.71 states/eV/cell
DFT formation energy   -0.0051 eV/atom

a b c (Å): 6.7763 6.7763 6.7763
angles (deg): 60.00 60.00 60.00
Positions (direct):
1 Rb 0.0000 0.0000 0.0000
2 Cd 0.7500 0.7500 0.7500
3 Bi 0.3800 0.3800 0.3800
4 Bi 0.3800 0.3800 0.8600
5 Bi 0.3800 0.8600 0.3800
6 Bi 0.8600 0.3800 0.3800

[19]
KLiFeCl4: optimized geometry, PBE-GGA.

Output
Calculated volume   410.2 Å³/cell
DOS(E_F)   14.21 states/eV/cell
Formation energy (no corrections)   -1351.6 meV/atom

a b c (Å): 6.1835 8.1479 8.3397
angles (deg): 90.00 102.53 90.00
Positions (direct):
1 K 0.2009 0.2500 0.1060
2 K 0.7991 0.7500 0.8940
3 Li 0.2841 0.2500 0.6808
4 Li 0.7159 0.7500 0.3192
5 Fe 0.2184 0.7500 0.3055
6 Fe 0.7816 0.2500 0.6945
7 Cl 0.0359 0.0383 0.7374
8 Cl 0.0359 0.4617 0.7374
9 Cl 0.3997 0.7500 0.0895
10 Cl 0.4919 0.2500 0.4728
11 Cl 0.5081 0.7500 0.5272
12 Cl 0.6003 0.2500 0.9105
13 Cl 0.9641 0.5383 0.2626
14 Cl 0.9641 0.9617 0.2626

[20]
CaDyAgPd: optimized geometry, PBE-GGA.

Output
Calculated volume   91.7 Å³/cell
DOS(E_F)   1.57 states/eV/cell
DFT formation energy   -0.5314 eV/atom

a b c (Å): 5.0612 5.0612 5.0612
angles (deg): 60.00 60.00 60.00
Positions (direct):
1 Ca 0.0000 0.0000 0.0000
2 Dy 0.5000 0.5000 0.5000
3 Ag 0.7500 0.7500 0.7500
4 Pd 0.2500 0.2500 0.2500